The following is a DFT calculation (PBE) of a relaxed structure of Ta2ReSe.

Cell: 5.4639 5.4639 5.4639 Å, 139.63 139.63 58.42°
Element x y z (fractional)
Se1 0.7500 0.2500 0.5000
Ta1 0.2500 0.7500 0.5000
Ta2 0.0000 0.0000 0.0000
Re1 0.5000 0.5000 0.0000

* energy relative to the elements, uncorrected: 237.7 meV per atom
* symmetry: I-4m2 (119)



The following is a DFT calculation (PBE) of a relaxed structure of TaReSe2.

Cell: 4.6096 5.1700 3.5171 Å, 73.38 83.02 113.86°
Element x y z (fractional)
Ta1 0.0000 0.5000 0.5000
Re1 0.5000 0.5000 0.0000
Se1 0.5000 0.0000 0.5000
Se2 0.0000 0.0000 0.0000

* energy relative to the elements, uncorrected: 515.7 meV per atom
* symmetry: C2/m (12)
* ΔE to the lowest computed polymorph: 2.90 eV per formula unit



The following is a DFT calculation (PBE) of a relaxed structure of TaReSe2.

Cell: 8.7739 8.7739 8.7739 Å, 20.53 20.53 20.53°
Element x y z (fractional)
Se1 0.9062 0.9062 0.9062
Se2 0.0938 0.0938 0.0938
Ta1 0.5000 0.5000 0.5000
Re1 0.0000 0.0000 0.0000

* energy relative to the elements, uncorrected: 159.9 meV per atom
* symmetry: R-3m (166)
* ΔE to the lowest computed polymorph: 1.48 eV per formula unit



The following is a DFT calculation (PBE) of a relaxed structure of TaReSe2.

Cell: 4.6291 4.6291 4.6291 Å, 60.00 60.00 60.00°
Site moments in Bohr magnetons follow the coordinates.
Element x y z (fractional)
Se1 0.2500 0.2500 0.2500  0.05
Se2 0.0000 0.0000 0.0000  0.06
Re1 0.5000 0.5000 0.5000  0.57
Ta1 0.7500 0.7500 0.7500  0.04

* energy relative to the elements, uncorrected: 703.4 meV per atom
* symmetry: F-43m (216)
* ΔE to the lowest computed polymorph: 3.65 eV per formula unit



The following is a DFT calculation (PBE) of a relaxed structure of TaReSe2.

Cell: 3.1863 4.4644 4.4644 Å, 90.00 90.00 90.00°
Element x y z (fractional)
Se1 0.0000 0.5000 0.5000
Se2 0.0000 0.0000 0.0000
Re1 0.5000 0.0000 0.5000
Ta1 0.5000 0.5000 0.0000

* energy relative to the elements, uncorrected: 217.0 meV per atom
* symmetry: P4/mmm (123)
* ΔE to the lowest computed polymorph: 1.71 eV per formula unit



The following is a DFT calculation (PBE) of a relaxed structure of Ta2ReSe2.

Cell: 3.6412 3.6412 7.3580 Å, 75.67 75.67 90.00°
Element x y z (fractional)
Se1 0.7500 0.2500 0.5000
Se2 0.2500 0.7500 0.5000
Ta1 0.3976 0.3976 0.2048
Ta2 0.6024 0.6024 0.7952
Re1 0.0000 0.0000 0.0000

* energy relative to the elements, uncorrected: 496.2 meV per atom
* symmetry: I4/mmm (139)
* ΔE to the lowest computed polymorph: 0.42 eV per formula unit



The following is a DFT calculation (PBE) of a relaxed structure of Ta2ReSe.

Cell: 5.2508 5.2508 7.8587 Å, 70.48 70.48 90.00°
Element x y z (fractional)
Ta1 0.1143 0.6250 0.2500
Ta2 0.6357 0.1250 0.2500
Ta3 0.3750 0.3643 0.7500
Ta4 0.8750 0.8857 0.7500
Re1 0.7500 0.2500 0.5000
Re2 0.0000 0.0000 0.0000
Se1 0.5000 0.5000 0.0000
Se2 0.2500 0.7500 0.5000

* energy relative to the elements, uncorrected: 939.0 meV per atom
* symmetry: I-42d (122)



The following is a DFT calculation (PBE) of a relaxed structure of TaReSe2.

Cell: 4.4054 4.4054 5.3317 Å, 78.33 78.33 41.24°
Element x y z (fractional)
Re1 0.2500 0.2500 0.2500
Ta1 0.7500 0.7500 0.7500
Se1 0.0005 0.0005 0.0045
Se2 0.4995 0.4995 0.4955

* energy relative to the elements, uncorrected: 253.9 meV per atom
* symmetry: C2/m (12)
* ΔE to the lowest computed polymorph: 1.86 eV per formula unit



The following is a DFT calculation (PBE) of a relaxed structure of TaRe3Se.

Cell: 4.8005 4.8005 4.8005 Å, 90.00 90.00 90.00°
Site moments in Bohr magnetons follow the coordinates.
Element x y z (fractional)
Ta1 0.0000 0.0000 0.0000  -0.08
Re1 0.0000 0.5000 0.0000  0.55
Re2 0.5000 0.0000 0.0000  0.59
Re3 0.0000 0.0000 0.5000  0.53
Se1 0.5000 0.5000 0.5000  -0.13

* energy relative to the elements, uncorrected: 2520.5 meV per atom
* symmetry: Pm-3m (221)
* ΔE to the lowest computed polymorph: 5.10 eV per formula unit



The following is a DFT calculation (PBE) of a relaxed structure of TaReSe2.

Cell: 3.1087 5.3530 4.2057 Å, 90.00 90.00 90.00°
Element x y z (fractional)
Se1 0.0000 0.0000 0.0000
Se2 0.5000 0.5000 0.0000
Re1 0.0000 0.5000 0.5000
Ta1 0.5000 0.0000 0.5000

* energy relative to the elements, uncorrected: 597.7 meV per atom
* symmetry: Pmmm (47)
* ΔE to the lowest computed polymorph: 3.23 eV per formula unit



The following is a DFT calculation (PBE) of a relaxed structure of Ta2ReSe.

Cell: 3.1524 4.1547 5.2662 Å, 90.00 90.00 90.00°
Element x y z (fractional)
Ta1 0.0000 0.0000 0.9850
Ta2 0.5000 0.5000 0.2721
Se1 0.5000 0.5000 0.7696
Re1 0.0000 0.0000 0.4734

* energy relative to the elements, uncorrected: 140.2 meV per atom
* symmetry: Pmm2 (25)



The following is a DFT calculation (PBE) of a relaxed structure of TaReSe2.

Cell: 4.4896 4.4896 4.4896 Å, 60.00 60.00 60.00°
Element x y z (fractional)
Ta1 0.0000 0.0000 0.0000
Se1 0.2500 0.2500 0.2500
Se2 0.7500 0.7500 0.7500
Re1 0.5000 0.5000 0.5000

* energy relative to the elements, uncorrected: 277.5 meV per atom
* symmetry: Fm-3m (225)
* ΔE to the lowest computed polymorph: 1.95 eV per formula unit